Arrangement i

# PBE Pm2HoAs, optimized geometry
# - Fermi-level density of states: 1.402 states/eV per atom
# - Total magnetization: 3.06 Bohr magnetons per cell
data_Pm2HoAs
_cell_length_a 3.9545
_cell_length_b 3.9545
_cell_length_c 28.5195
_cell_angle_alpha 90.00
_cell_angle_beta 90.00
_cell_angle_gamma 120.00
_space_group_name_H-M_alt 'R -3 m'
_space_group_IT_number 166
_space_group_name_Hall '-R 3 2"'
loop_
_atom_site_label
_atom_site_fract_x
_atom_site_fract_y
_atom_site_fract_z
Pm1 0.0000 0.0000 0.2292
Ho1 0.0000 0.0000 0.0000
As1 0.0000 0.0000 0.5000


Arrangement ii

# PBE Pm2HoAs, optimized geometry
# - Fermi-level density of states: 1.380 states/eV per atom
# - Total magnetization: 0.00 Bohr magnetons per cell
data_Pm2HoAs
_cell_length_a 3.825
_cell_length_b 3.825
_cell_length_c 7.799
_cell_angle_alpha 90.00
_cell_angle_beta 90.00
_cell_angle_gamma 90.00
_space_group_name_H-M_alt 'P 4/m m m'
_space_group_IT_number 123
_space_group_name_Hall '-P 4 2'
loop_
_atom_site_label
_atom_site_fract_x
_atom_site_fract_y
_atom_site_fract_z
Pm1 0.000 0.000 0.204
Ho1 0.500 0.500 0.500
As1 0.500 0.500 0.000


Winner for stability: arrangement i


Arrangement i

# PBE PmHoAs2, optimized geometry
# - Fermi-level density of states: 0.090 states/eV per atom
# - Total magnetization: 0.00 Bohr magnetons per cell
data_PmHoAs2
_cell_length_a 4.1341
_cell_length_b 4.1341
_cell_length_c 21.2847
_cell_angle_alpha 90.00
_cell_angle_beta 90.00
_cell_angle_gamma 120.00
_space_group_name_H-M_alt 'R 3 m'
_space_group_IT_number 160
_space_group_name_Hall 'R 3 -2"'
loop_
_atom_site_label
_atom_site_fract_x
_atom_site_fract_y
_atom_site_fract_z
Pm1 0.0000 0.0000 0.0000
Ho1 0.0000 0.0000 0.8286
As1 0.0000 0.0000 0.4155
As2 0.0000 0.0000 0.5791


Arrangement ii

# PBE PmHoAs2, optimized geometry
# - Fermi-level density of states: 0.459 states/eV per atom
# - Total magnetization: 0.00 Bohr magnetons per cell
data_PmHoAs2
_cell_length_a 5.287
_cell_length_b 5.287
_cell_length_c 3.336
_cell_angle_alpha 90.00
_cell_angle_beta 90.00
_cell_angle_gamma 90.00
_space_group_name_H-M_alt 'P 4/m m m'
_space_group_IT_number 123
_space_group_name_Hall '-P 4 2'
loop_
_atom_site_label
_atom_site_fract_x
_atom_site_fract_y
_atom_site_fract_z
Pm1 0.000 0.000 0.000
Ho1 0.500 0.500 0.000
As1 0.000 0.500 0.500


Winner for stability: arrangement i


Arrangement i

# PBE PmHoAs2, optimized geometry
# - Fermi-level density of states: 0.118 states/eV per atom
# - Total magnetization: 0.00 Bohr magnetons per cell
data_PmHoAs2
_cell_length_a 4.1726
_cell_length_b 4.1726
_cell_length_c 20.4028
_cell_angle_alpha 90.00
_cell_angle_beta 90.00
_cell_angle_gamma 120.00
_space_group_name_H-M_alt 'R -3 m'
_space_group_IT_number 166
_space_group_name_Hall '-R 3 2"'
loop_
_atom_site_label
_atom_site_fract_x
_atom_site_fract_y
_atom_site_fract_z
Pm1 0.0000 0.0000 0.0000
Ho1 0.0000 0.0000 0.5000
As1 0.0000 0.0000 0.2472


Arrangement ii

# PBE PmHoAs2, optimized geometry
# - Fermi-level density of states: 0.528 states/eV per atom
# - Total magnetization: 0.00 Bohr magnetons per cell
data_PmHoAs2
_cell_length_a 7.226
_cell_length_b 7.226
_cell_length_c 7.226
_cell_angle_alpha 90.00
_cell_angle_beta 90.00
_cell_angle_gamma 90.00
_space_group_name_H-M_alt 'F m -3 m'
_space_group_IT_number 225
_space_group_name_Hall '-F 4 2 3'
loop_
_atom_site_label
_atom_site_fract_x
_atom_site_fract_y
_atom_site_fract_z
Pm1 0.000 0.000 0.000
Ho1 0.000 0.000 0.500
As1 0.250 0.250 0.250


Winner for stability: arrangement i


Arrangement i

# PBE HoPu2As3, optimized geometry
# - Fermi-level density of states: 3.820 states/eV per atom
# - Total magnetization: 0.26 Bohr magnetons per cell
data_HoPu2As3
_cell_length_a 8.250
_cell_length_b 11.649
_cell_length_c 24.726
_cell_angle_alpha 90.00
_cell_angle_beta 90.00
_cell_angle_gamma 90.00
_space_group_name_H-M_alt 'F d d d'
_space_group_IT_number 70
loop_
_space_group_symop_operation_xyz
'x,y,z'
'-x,-y,-z'
'-x+1/4,-y+1/4,z'
'x+1/4,y+1/4,-z'
'x,-y+1/4,-z+1/4'
'-x,y+1/4,z+1/4'
'-x+1/4,y,-z+1/4'
'x+1/4,-y,z+1/4'
'x,y+1/2,z+1/2'
'-x,-y+1/2,-z+1/2'
'-x+1/4,-y+3/4,z+1/2'
'x+1/4,y+3/4,-z+1/2'
'x,-y+3/4,-z+3/4'
'-x,y+3/4,z+3/4'
'-x+1/4,y+1/2,-z+3/4'
'x+1/4,-y+1/2,z+3/4'
'x+1/2,y,z+1/2'
'-x+1/2,-y,-z+1/2'
'-x+3/4,-y+1/4,z+1/2'
'x+3/4,y+1/4,-z+1/2'
'x+1/2,-y+1/4,-z+3/4'
'-x+1/2,y+1/4,z+3/4'
'-x+3/4,y,-z+3/4'
'x+3/4,-y,z+3/4'
'x+1/2,y+1/2,z'
'-x+1/2,-y+1/2,-z'
'-x+3/4,-y+3/4,z'
'x+3/4,y+3/4,-z'
'x+1/2,-y+3/4,-z+1/4'
'-x+1/2,y+3/4,z+1/4'
'-x+3/4,y+1/2,-z+1/4'
'x+3/4,-y+1/2,z+1/4'
loop_
_atom_site_label
_atom_site_fract_x
_atom_site_fract_y
_atom_site_fract_z
Ho1 0.125 0.125 0.042
Pu1 0.125 0.125 0.375
Pu2 0.125 0.125 0.542
As1 0.125 0.375 0.042
As2 0.125 0.375 0.375


Arrangement ii

# PBE HoPu2As3, optimized geometry
# - Fermi-level density of states: 3.179 states/eV per atom
# - Total magnetization: 19.89 Bohr magnetons per cell
data_HoPu2As3
_cell_length_a 4.126
_cell_length_b 5.826
_cell_length_c 12.350
_cell_angle_alpha 90.00
_cell_angle_beta 90.00
_cell_angle_gamma 90.00
_space_group_name_H-M_alt 'I m m m'
_space_group_IT_number 71
_space_group_name_Hall '-I 2 2'
loop_
_atom_site_label
_atom_site_fract_x
_atom_site_fract_y
_atom_site_fract_z
Ho1 0.000 0.000 0.000
Pu1 0.000 0.000 0.334
As1 0.000 0.500 0.000
As2 0.000 0.500 0.332


Winner for stability: arrangement ii


Arrangement i

# PBE HoAsRh3, optimized geometry
# - Fermi-level density of states: 0.690 states/eV per atom
# - Total magnetization: 0.00 Bohr magnetons per cell
data_HoAsRh3
_cell_length_a 6.7379
_cell_length_b 6.7379
_cell_length_c 7.0097
_cell_angle_alpha 90.00
_cell_angle_beta 90.00
_cell_angle_gamma 120.00
_space_group_name_H-M_alt 'R 3 m'
_space_group_IT_number 160
_space_group_name_Hall 'R 3 -2"'
loop_
_atom_site_label
_atom_site_fract_x
_atom_site_fract_y
_atom_site_fract_z
Ho1 0.0000 0.0000 0.0000
As1 0.0000 0.0000 0.4116
Rh1 0.1935 0.3870 0.3358


Arrangement ii

# PBE HoAsRh3, optimized geometry
# - Fermi-level density of states: 0.487 states/eV per atom
# - Total magnetization: 0.00 Bohr magnetons per cell
data_HoAsRh3
_cell_length_a 5.429
_cell_length_b 7.567
_cell_length_c 8.477
_cell_angle_alpha 90.00
_cell_angle_beta 90.00
_cell_angle_gamma 90.00
_space_group_name_H-M_alt 'I m m a'
_space_group_IT_number 74
_space_group_name_Hall '-I 2b 2'
loop_
_atom_site_label
_atom_site_fract_x
_atom_site_fract_y
_atom_site_fract_z
Ho1 0.000 0.250 0.006
As1 0.000 0.000 0.500
Rh1 0.000 0.250 0.680
Rh2 0.250 0.052 0.250


Winner for stability: arrangement ii


Arrangement i

# PBE HoSc3As3, optimized geometry
# - Fermi-level density of states: 1.014 states/eV per atom
# - Total magnetization: 0.00 Bohr magnetons per cell
data_HoSc3As3
_cell_length_a 8.315
_cell_length_b 8.315
_cell_length_c 8.315
_cell_angle_alpha 90.00
_cell_angle_beta 90.00
_cell_angle_gamma 90.00
_space_group_name_H-M_alt 'P 21 3'
_space_group_IT_number 198
_space_group_name_Hall 'P 2ac 2ab 3'
loop_
_atom_site_label
_atom_site_fract_x
_atom_site_fract_y
_atom_site_fract_z
Ho1 0.067 0.433 0.567
Sc1 0.071 0.571 0.929
Sc2 0.179 0.821 0.321
Sc3 0.184 0.184 0.184
As1 0.002 0.257 0.878


Arrangement ii

# PBE HoSc3As3, optimized geometry
# - Fermi-level density of states: 0.600 states/eV per atom
# - Total magnetization: 0.00 Bohr magnetons per cell
data_HoSc3As3
_cell_length_a 8.1578
_cell_length_b 8.1578
_cell_length_c 16.4734
_cell_angle_alpha 90.00
_cell_angle_beta 90.00
_cell_angle_gamma 120.00
_space_group_name_H-M_alt 'R -3'
_space_group_IT_number 148
_space_group_name_Hall '-R 3'
loop_
_atom_site_label
_atom_site_fract_x
_atom_site_fract_y
_atom_site_fract_z
Ho1 0.0000 0.0000 0.1665
Sc1 0.0035 0.7343 0.5876
As1 0.0043 0.6294 0.4186


Winner for stability: arrangement i


Arrangement i

# PBE HoSc2As, optimized geometry
# - Fermi-level density of states: 1.330 states/eV per atom
# - Total magnetization: 0.00 Bohr magnetons per cell
data_HoSc2As
_cell_length_a 3.890
_cell_length_b 11.218
_cell_length_c 8.533
_cell_angle_alpha 90.00
_cell_angle_beta 90.00
_cell_angle_gamma 90.00
_space_group_name_H-M_alt 'C m c m'
_space_group_IT_number 63
_space_group_name_Hall '-C 2c 2'
loop_
_atom_site_label
_atom_site_fract_x
_atom_site_fract_y
_atom_site_fract_z
Ho1 0.000 0.060 0.250
Sc1 0.000 0.357 0.053
As1 0.000 0.239 0.750


Arrangement ii

# PBE HoSc2As, optimized geometry
# - Fermi-level density of states: 1.389 states/eV per atom
# - Total magnetization: 1.37 Bohr magnetons per cell
data_HoSc2As
_cell_length_a 3.6606
_cell_length_b 3.6606
_cell_length_c 26.6736
_cell_angle_alpha 90.00
_cell_angle_beta 90.00
_cell_angle_gamma 120.00
_space_group_name_H-M_alt 'R -3 m'
_space_group_IT_number 166
_space_group_name_Hall '-R 3 2"'
loop_
_atom_site_label
_atom_site_fract_x
_atom_site_fract_y
_atom_site_fract_z
Ho1 0.0000 0.0000 0.0000
Sc1 0.0000 0.0000 0.2269
As1 0.0000 0.0000 0.5000


Winner for stability: arrangement i


Arrangement i

# PBE Ho2SiAs, optimized geometry
# - Fermi-level density of states: 0.304 states/eV per atom
# - Total magnetization: 0.00 Bohr magnetons per cell
data_Ho2SiAs
_cell_length_a 3.9896
_cell_length_b 3.9896
_cell_length_c 21.0792
_cell_angle_alpha 90.00
_cell_angle_beta 90.00
_cell_angle_gamma 120.00
_space_group_name_H-M_alt 'R -3 m'
_space_group_IT_number 166
_space_group_name_Hall '-R 3 2"'
loop_
_atom_site_label
_atom_site_fract_x
_atom_site_fract_y
_atom_site_fract_z
Ho1 0.0000 0.0000 0.2477
Si1 0.0000 0.0000 0.0000
As1 0.0000 0.0000 0.5000


Arrangement ii

# PBE Ho2SiAs, optimized geometry
# - Fermi-level density of states: 0.336 states/eV per atom
# - Total magnetization: 0.00 Bohr magnetons per cell
data_Ho2SiAs
_cell_length_a 4.201
_cell_length_b 22.309
_cell_length_c 3.931
_cell_angle_alpha 90.00
_cell_angle_beta 90.00
_cell_angle_gamma 90.00
_space_group_name_H-M_alt 'C m c m'
_space_group_IT_number 63
_space_group_name_Hall '-C 2c 2'
loop_
_atom_site_label
_atom_site_fract_x
_atom_site_fract_y
_atom_site_fract_z
Ho1 0.000 0.064 0.250
Ho2 0.000 0.316 0.250
Si1 0.000 0.463 0.250
As1 0.000 0.188 0.250


Winner for stability: arrangement ii